Entry 1:
K2RbAuCl6: relaxed, GGA-PBE.

Lattice parameters (Å, degrees): 7.876 7.876 7.876 60.00 60.00 60.00
Positions (direct):
K 0.250 0.250 0.250
K 0.750 0.750 0.750
Rb 0.000 0.000 0.000
Au 0.500 0.500 0.500
Cl 0.275 0.275 0.725
Cl 0.275 0.725 0.275
Cl 0.275 0.725 0.725
Cl 0.725 0.275 0.275
Cl 0.725 0.275 0.725
Cl 0.725 0.725 0.275

Results
Size of the total moment   0.20 μB/atom
Formation energy from raw total energies   -1.139 eV/atom
Electronic total energy   -2.89 eV per atom
Density of states at the Fermi level   0.2128 states/eV per atom

=====

Entry 2:
KAu2SCl: relaxed, GGA-PBE.

Lattice parameters (Å, degrees): 4.606 4.606 8.740 90.00 90.00 90.00
Positions (direct):
K 0.000 0.000 0.000
Au 0.000 0.500 0.500
Au 0.500 0.000 0.500
S 0.500 0.500 0.500
Cl 0.500 0.500 0.000

Results
Size of the total moment   0.00 μB/atom
Formation energy from raw total energies   -0.495 eV/atom
Electronic total energy   -3.22 eV per atom
Density of states at the Fermi level   0.0219 states/eV per atom

=====

Entry 3:
K2SbAuCl6: relaxed, GGA-PBE.

Lattice parameters (Å, degrees): 7.548 7.716 8.037 63.70 89.46 60.88
Positions (direct):
K 0.000 0.000 0.000
K 0.463 0.037 0.455
Sb 0.686 0.612 0.075
Au 0.243 0.634 0.772
Cl 0.012 0.181 0.279
Cl 0.372 0.039 0.851
Cl 0.454 0.523 0.272
Cl 0.588 0.506 0.768
Cl 0.800 0.725 0.279
Cl 0.895 0.792 0.774

Results
Size of the total moment   0.00 μB/atom
Formation energy from raw total energies   -1.187 eV/atom
E above lowest polymorph   0.000 eV per atom
Electronic total energy   -3.25 eV per atom
Density of states at the Fermi level   0.0000 states/eV per atom

=====

no.,volume (Å³/atom)
1,34.55
2,37.09
3,35.36